[1]
DFT (GGA-PBE) results for a geometry-optimized HfInP2S structure.

Unit cell a=5.0577 b=5.0577 c=4.9068 alpha=90.00 beta=90.00 gamma=90.00
Fractional positions:
P (0.0000, 0.5000, 0.0000)
P (0.5000, 0.0000, 0.0000)
S (0.0000, 0.0000, 0.5000)
Hf (0.0000, 0.0000, 0.0000)
In (0.5000, 0.5000, 0.5000)

Properties
raw formation energy = -82 meV per atom
magnetic moment = 0.000 μB/cell

***

[2]
DFT (GGA-PBE) results for a geometry-optimized HfInPS2 structure.

Unit cell a=4.8419 b=4.8419 c=4.9484 alpha=90.00 beta=90.00 gamma=90.00
Fractional positions:
P (0.0000, 0.0000, 0.5000)
S (0.0000, 0.5000, 0.0000)
S (0.5000, 0.0000, 0.0000)
Hf (0.5000, 0.5000, 0.5000)
In (0.0000, 0.0000, 0.0000)

Properties
raw formation energy = 614 meV per atom
magnetic moment = 0.000 μB/cell

***

[3]
DFT (GGA-PBE) results for a geometry-optimized HfInPS2 structure.

Unit cell a=4.9278 b=4.9278 c=5.1450 alpha=90.00 beta=90.00 gamma=90.00
Fractional positions:
P (0.0000, 0.0000, 0.5000)
S (0.0000, 0.5000, 0.0000)
S (0.5000, 0.0000, 0.0000)
Hf (0.0000, 0.0000, 0.0000)
In (0.5000, 0.5000, 0.5000)

Properties
raw formation energy = -429 meV per atom
magnetic moment = 0.000 μB/cell

***

[4]
DFT (GGA-PBE) results for a geometry-optimized Hf2InSbP structure.

Unit cell a=4.8866 b=5.1816 c=4.8866 alpha=90.00 beta=90.00 gamma=90.00
Fractional positions:
Sb (0.0000, 0.5000, 0.0000)
Hf (0.0000, 0.0000, 0.5000)
Hf (0.5000, 0.0000, 0.0000)
P (0.0000, 0.0000, 0.0000)
In (0.5000, 0.5000, 0.5000)

Properties
raw formation energy = 132 meV per atom
magnetic moment = 0.000 μB/cell

***

[5]
DFT (GGA-PBE) results for a geometry-optimized HfInSi2P structure.

Unit cell a=5.0521 b=5.5578 c=5.0521 alpha=90.00 beta=90.00 gamma=90.00
Fractional positions:
P (0.5000, 0.5000, 0.5000)
Si (0.0000, 0.0000, 0.5000)
Si (0.5000, 0.0000, 0.0000)
Hf (0.0000, 0.0000, 0.0000)
In (0.0000, 0.5000, 0.0000)

Properties
raw formation energy = 1178 meV per atom
magnetic moment = 0.000 μB/cell

***

[6]
DFT (GGA-PBE) results for a geometry-optimized HfInSiP2 structure.

Unit cell a=4.9003 b=4.8995 c=4.9003 alpha=90.00 beta=90.00 gamma=90.00
Fractional positions:
P (0.0000, 0.0000, 0.5000)
P (0.5000, 0.0000, 0.0000)
Si (0.0000, 0.5000, 0.0000)
Hf (0.5000, 0.5000, 0.5000)
In (0.0000, 0.0000, 0.0000)

Properties
raw formation energy = 1225 meV per atom
magnetic moment = 0.000 μB/cell

***

[7]
DFT (GGA-PBE) results for a geometry-optimized HfInSn2P structure.

Unit cell a=5.5833 b=5.6216 c=5.5833 alpha=90.00 beta=90.00 gamma=90.00
Fractional positions:
P (0.5000, 0.5000, 0.5000)
Hf (0.0000, 0.0000, 0.0000)
Sn (0.0000, 0.0000, 0.5000)
Sn (0.5000, 0.0000, 0.0000)
In (0.0000, 0.5000, 0.0000)

Properties
energy relative to the elements = 930.8 meV per atom
magnetic moment = 0.002 μB/cell

***

[8]
DFT (GGA-PBE) results for a geometry-optimized Hf2InSnP structure.

Unit cell a=4.8775 b=5.1113 c=4.8775 alpha=90.00 beta=90.00 gamma=90.00
Fractional positions:
P (0.0000, 0.0000, 0.0000)
Hf (0.0000, 0.0000, 0.5000)
Hf (0.5000, 0.0000, 0.0000)
Sn (0.0000, 0.5000, 0.0000)
In (0.5000, 0.5000, 0.5000)

Properties
energy relative to the elements = 99.0 meV per atom
magnetic moment = 0.000 μB/cell

***

[9]
DFT (GGA-PBE) results for a geometry-optimized Sr2HfInP structure.

Unit cell a=6.0869 b=5.4418 c=6.0869 alpha=90.00 beta=90.00 gamma=90.00
Site moments in Bohr magnetons follow the coordinates.
Fractional positions:
Sr (0.0000, 0.0000, 0.5000)  0.18
Sr (0.5000, 0.0000, 0.0000)  0.14
Hf (0.0000, 0.0000, 0.0000)  1.33
P (0.5000, 0.5000, 0.5000)  0.13
In (0.0000, 0.5000, 0.0000)  0.13

Properties
energy relative to the elements = 1007.9 meV per atom
magnetic moment = 3.339 μB/cell

***

[10]
DFT (GGA-PBE) results for a geometry-optimized HfPa2In structure.

Unit cell a=4.0034 b=4.0034 c=6.3635 alpha=90.00 beta=90.00 gamma=90.00
Fractional positions:
Pa (0.0000, 0.0000, 0.7277)
Pa (0.0000, 0.0000, 0.2723)
Hf (0.5000, 0.5000, 0.0000)
In (0.5000, 0.5000, 0.5000)

Properties
energy relative to the elements = 237.9 meV per atom
magnetic moment = 0.003 μB/cell

***

[11]
DFT (GGA-PBE) results for a geometry-optimized Hf3PaIn structure.

Unit cell a=5.6543 b=5.8560 c=8.1166 alpha=75.04 beta=106.38 gamma=114.82
Fractional positions:
Hf (0.9295, 0.7056, 0.8782)
Hf (0.0705, 0.2944, 0.1218)
Hf (0.3111, 0.6846, 0.6813)
Hf (0.6889, 0.3154, 0.3187)
Hf (0.1910, 0.7956, 0.2750)
Hf (0.8090, 0.2044, 0.7250)
Pa (0.7765, 0.7920, 0.4821)
Pa (0.2235, 0.2080, 0.5179)
In (0.5783, 0.7760, 0.0650)
In (0.4217, 0.2240, 0.9350)

Properties
energy relative to the elements = 13.3 meV per atom
magnetic moment = 0.000 μB/cell

***

[12]
DFT (GGA-PBE) results for a geometry-optimized HfPaIn structure.

Unit cell a=4.9232 b=8.2354 c=8.2354 alpha=84.87 beta=72.61 gamma=72.61
Fractional positions:
Hf (0.1790, 0.6420, 0.0000)
Hf (0.8210, 0.3580, 0.0000)
Hf (0.8210, 0.0000, 0.3580)
Hf (0.1790, 0.0000, 0.6420)
Pa (0.6254, 0.3746, 0.3746)
Pa (0.3746, 0.6254, 0.6254)
Pa (0.0000, 0.3746, 0.6254)
Pa (0.0000, 0.6254, 0.3746)
In (0.3029, 0.1971, 0.1971)
In (0.6971, 0.8029, 0.8029)
In (0.5000, 0.1971, 0.8029)
In (0.5000, 0.8029, 0.1971)

Properties
energy relative to the elements = 353.2 meV per atom
magnetic moment = 0.000 μB/cell

***

[13]
DFT (GGA-PBE) results for a geometry-optimized Hf12PaIn3 structure.

Unit cell a=4.4312 b=4.4313 c=18.0278 alpha=90.00 beta=90.00 gamma=90.00
Fractional positions:
Hf (0.5000, 0.5000, 0.0000)
Hf (0.5000, 0.5000, 0.2542)
Hf (0.5000, 0.5000, 0.5000)
Hf (0.5000, 0.5000, 0.7458)
Hf (0.5000, 0.0000, 0.1276)
Hf (0.5000, 0.0000, 0.3778)
Hf (0.5000, 0.0000, 0.6222)
Hf (0.5000, 0.0000, 0.8724)
Hf (0.0000, 0.5000, 0.1276)
Hf (0.0000, 0.5000, 0.3778)
Hf (0.0000, 0.5000, 0.6222)
Hf (0.0000, 0.5000, 0.8724)
Pa (0.0000, 0.0000, 0.0000)
In (0.0000, 0.0000, 0.2530)
In (0.0000, 0.0000, 0.5000)
In (0.0000, 0.0000, 0.7470)

Properties
energy relative to the elements = -77.9 meV per atom
magnetic moment = 0.000 μB/cell

***

[14]
DFT (GGA-PBE) results for a geometry-optimized HfPa2In structure.

Unit cell a=4.9801 b=4.3721 c=4.3721 alpha=90.00 beta=90.00 gamma=90.00
Fractional positions:
Pa (0.0000, 0.0000, 0.5000)
Pa (0.0000, 0.5000, 0.0000)
Hf (0.5000, 0.5000, 0.5000)
In (0.5000, 0.0000, 0.0000)

Properties
energy relative to the elements = -37.6 meV per atom
magnetic moment = 0.000 μB/cell

***

[15]
DFT (GGA-PBE) results for a geometry-optimized HfPaIn structure.

Unit cell a=3.2586 b=3.1438 c=8.3995 alpha=84.23 beta=78.82 gamma=58.79
Fractional positions:
Pa (0.0034, 0.0000, 0.9933)
Hf (0.6688, 0.0000, 0.6623)
In (0.3278, 0.0000, 0.3444)

Properties
energy relative to the elements = 55.5 meV per atom
magnetic moment = 0.000 μB/cell

***

[16]
DFT (GGA-PBE) results for a geometry-optimized Hf4PaIn structure.

Unit cell a=3.1024 b=5.2453 c=8.6203 alpha=90.00 beta=90.03 gamma=90.00
Fractional positions:
Hf (0.5011, 0.9973, 0.1837)
Hf (0.5015, 0.9973, 0.8125)
Hf (0.0011, 0.4973, 0.6789)
Hf (0.0015, 0.4973, 0.3174)
Pa (0.0013, 0.9973, 0.4981)
In (0.5013, 0.4973, 0.9982)

Properties
energy relative to the elements = 121.8 meV per atom
magnetic moment = 0.000 μB/cell

***

[17]
DFT (GGA-PBE) results for a geometry-optimized Hf2PaIn3 structure.

Unit cell a=3.1029 b=3.1029 c=14.0900 alpha=90.00 beta=90.00 gamma=90.00
Site moments in Bohr magnetons follow the coordinates.
Fractional positions:
Hf (0.5000, 0.5000, 0.8426)  0.00
Hf (0.5000, 0.5000, 0.1574)  0.00
Pa (0.5000, 0.5000, 0.5000)  0.46
In (0.0000, 0.0000, 0.0000)  0.00
In (0.0000, 0.0000, 0.6816)  -0.01
In (0.0000, 0.0000, 0.3184)  -0.01

Properties
energy relative to the elements = -105.3 meV per atom
magnetic moment = 0.514 μB/cell

***

[18]
DFT (GGA-PBE) results for a geometry-optimized Hf12Pa3In5 structure.

Unit cell a=14.7290 b=14.7290 c=14.7290 alpha=109.47 beta=109.47 gamma=109.47
Fractional positions:
Pa (0.7500, 0.3750, 0.1250)
Pa (0.8750, 0.7500, 0.1250)
Pa (0.3750, 0.7500, 0.6250)
Pa (0.2500, 0.1250, 0.3750)
Pa (0.8750, 0.1250, 0.2500)
Pa (0.3750, 0.6250, 0.2500)
Pa (0.6250, 0.3750, 0.7500)
Pa (0.1250, 0.8750, 0.7500)
Pa (0.7500, 0.8750, 0.6250)
Pa (0.6250, 0.2500, 0.3750)
Pa (0.1250, 0.2500, 0.8750)
Pa (0.2500, 0.6250, 0.8750)
In (0.1250, 0.3750, 0.2500)
In (0.0000, 0.5000, 0.0000)
In (0.0000, 0.0000, 0.0000)
In (0.3750, 0.2500, 0.1250)
In (0.5000, 0.0000, 0.5000)
In (0.5000, 0.5000, 0.0000)
In (0.1250, 0.7500, 0.3750)
In (0.7500, 0.1250, 0.8750)
In (0.7500, 0.6250, 0.3750)
In (0.3750, 0.1250, 0.7500)
In (0.6250, 0.8750, 0.2500)
In (0.5000, 0.5000, 0.5000)
In (0.5000, 0.0000, 0.0000)
In (0.0000, 0.0000, 0.5000)
In (0.2500, 0.3750, 0.6250)
In (0.2500, 0.8750, 0.1250)
In (0.0000, 0.5000, 0.5000)
In (0.8750, 0.2500, 0.6250)
In (0.6250, 0.7500, 0.8750)
In (0.8750, 0.6250, 0.7500)
Hf (0.7269, 0.1483, 0.0760)
Hf (0.3491, 0.5760, 0.4277)
Hf (0.9240, 0.3517, 0.2731)
Hf (0.5760, 0.2269, 0.1483)
Hf (0.5786, 0.7269, 0.6509)
Hf (0.9240, 0.5723, 0.1509)
Hf (0.3491, 0.7731, 0.4214)
Hf (0.0723, 0.9214, 0.1483)
Hf (0.5723, 0.9240, 0.6509)
Hf (0.7269, 0.5786, 0.1509)
Hf (0.7731, 0.4240, 0.3517)
Hf (0.8491, 0.9277, 0.0760)
Hf (0.1483, 0.7269, 0.5760)
Hf (0.3517, 0.4277, 0.0786)
Hf (0.0786, 0.9277, 0.3517)
Hf (0.4214, 0.1483, 0.5723)
Hf (0.0786, 0.1509, 0.2269)
Hf (0.4240, 0.6509, 0.0723)
Hf (0.8491, 0.9214, 0.2731)
Hf (0.1483, 0.4214, 0.0723)
Hf (0.3517, 0.9240, 0.7731)
Hf (0.5723, 0.6483, 0.4214)
Hf (0.9277, 0.8491, 0.5760)
Hf (0.7731, 0.3491, 0.9214)
Hf (0.4277, 0.3517, 0.5786)
Hf (0.0723, 0.1509, 0.4240)
Hf (0.2269, 0.6509, 0.0786)
Hf (0.1509, 0.0786, 0.7269)
Hf (0.6483, 0.0760, 0.2269)
Hf (0.8517, 0.5786, 0.9277)
Hf (0.5760, 0.3491, 0.9277)
Hf (0.5786, 0.8517, 0.4277)
Hf (0.9214, 0.8491, 0.7731)
Hf (0.9214, 0.0723, 0.6483)
Hf (0.8517, 0.2731, 0.4240)
Hf (0.1509, 0.0723, 0.9240)
Hf (0.6483, 0.5723, 0.9214)
Hf (0.4277, 0.0760, 0.3491)
Hf (0.2731, 0.4214, 0.8491)
Hf (0.2269, 0.5760, 0.6483)
Hf (0.9277, 0.0786, 0.8517)
Hf (0.6509, 0.2269, 0.5786)
Hf (0.4240, 0.7731, 0.8517)
Hf (0.0760, 0.4277, 0.8491)
Hf (0.4214, 0.2731, 0.3491)
Hf (0.0760, 0.6483, 0.7269)
Hf (0.6509, 0.4240, 0.5723)
Hf (0.2731, 0.8517, 0.9240)

Properties
energy relative to the elements = 960.4 meV per atom
magnetic moment = 0.002 μB/cell

***

[19]
DFT (GGA-PBE) results for a geometry-optimized HfPaIn structure.

Unit cell a=3.1337 b=3.1337 c=7.5804 alpha=101.93 beta=101.93 gamma=90.00
Fractional positions:
Pa (0.3290, 0.3290, 0.6581)
Hf (0.6653, 0.6653, 0.3306)
In (0.0057, 0.0057, 0.0113)

Properties
energy relative to the elements = -85.1 meV per atom
magnetic moment = 0.000 μB/cell

***

[20]
DFT (GGA-PBE) results for a geometry-optimized HfPa2In structure.

Unit cell a=3.1057 b=3.1057 c=9.8782 alpha=90.00 beta=90.00 gamma=90.00
Fractional positions:
Hf (0.5000, 0.5000, 0.7439)
Pa (0.0000, 0.0000, 0.9932)
Pa (0.5000, 0.5000, 0.2520)
In (0.0000, 0.0000, 0.5108)

Properties
energy relative to the elements = -7.6 meV per atom
magnetic moment = 0.000 μB/cell